Entry from the Open Quantum Materials Database: a relaxed Ta2AlGaPd2 crystal (PBE-GGA).

```
24
Lattice="10.450 0.000 0.000 0.000 4.266 0.000 -3.484 0.000 9.853" Properties=species:S:1:pos:R:3 pbc="T T T"
Ta 0.000 0.000 0.000
Ta -0.007 2.133 3.694
Ta 0.001 0.000 7.394
Ta 3.487 2.133 1.220
Ta 3.469 0.000 4.935
Ta 3.472 2.133 8.625
Ta 6.967 0.000 2.448
Ta 6.969 2.133 6.165
Al 1.742 0.000 2.464
Al 5.220 2.133 3.698
Al 5.223 0.000 7.386
Al 8.700 0.000 4.924
Ga -1.747 2.133 8.623
Ga 1.739 2.133 6.154
Ga 5.222 0.000 0.004
Ga 8.708 2.133 1.231
Pd 0.882 2.133 1.246
Pd 0.850 0.000 4.914
Pd 0.866 2.133 8.616
Pd 4.346 0.000 2.482
Pd 4.366 2.133 6.161
Pd 4.361 0.000 9.831
Pd 7.823 2.133 3.705
Pd 7.830 0.000 7.380
```

## Properties
* E: -0.2596 Ha/atom
* volume: 439 Å³/cell